(1)
{"formula": "GaHCO", "functional": "PBE", "state": "relaxed", "relative_energy_mev_per_atom": 293, "m_tot_mub_per_cell": 0.00, "dos_ef_per_ev_fu": 0.7, "lattice_angstrom": [[-0.817, 2.597, -0.702], [-0.994, -0.042, -3.078], [-5.436, -0.777, 1.631]], "species": ["Ga", "C", "H", "O"], "fractional_positions": [[0.680, 0.200, 0.643], [0.793, 0.106, 0.005], [0.101, 0.795, 0.033], [0.611, 0.340, 0.176]]}


(2)
{"formula": "GaHCO", "functional": "PBE", "state": "relaxed", "relative_energy_mev_per_atom": 0, "m_tot_mub_per_cell": 0.00, "lattice_angstrom": [[-0.263, 2.932, 1.514], [-1.545, -1.569, 2.770], [6.550, -3.862, 1.466]], "species": ["C", "C", "Ga", "Ga", "H", "H", "O", "O"], "fractional_positions": [[0.009, 0.000, 0.966], [0.009, 0.500, 0.466], [0.976, 0.500, 0.834], [0.976, 0.000, 0.334], [0.667, 0.500, 0.457], [0.667, 0.000, 0.957], [0.306, 0.000, 0.171], [0.306, 0.500, 0.671]]}